No. 1
Li8AlPd6 (PBE, relaxed); energy relative to the elements = -0.34 eV/atom; calculated total energy = -55.29 eV/f.u.; total magnetization = 0.0 Bohr magnetons per cell; DOS(E_F) = 0.350 states/eV/atom
1.0
-0.826 -5.408 5.044
-0.075 -7.121 -2.158
4.863 -4.411 1.556
Li Al Pd
8 1 6
direct
0.548 0.211 0.361
0.789 0.120 0.639
0.120 0.452 0.639
0.671 0.671 0.987
0.329 0.329 0.013
0.880 0.548 0.361
0.211 0.880 0.361
0.452 0.789 0.639
0.000 0.000 0.000
0.371 0.048 0.868
0.952 0.287 0.132
0.287 0.629 0.132
0.713 0.371 0.868
0.048 0.713 0.868
0.629 0.952 0.132

=====

No. 2
TlZnAs (PBE, relaxed); energy relative to the elements = -0.10 eV/atom; calculated total energy = -8.59 eV/f.u.; total magnetization = 0.0 Bohr magnetons per cell; DOS(E_F) = 0.326 states/eV/atom
1.0
-4.100 0.387 -0.899
2.693 -1.300 -2.971
0.318 -9.355 4.389
Tl Zn As
2 2 2
direct
0.238 0.623 0.861
0.762 0.377 0.139
0.394 0.199 0.593
0.606 0.801 0.407
0.222 0.108 0.330
0.778 0.892 0.670

=====

No. 3
K3Cd2Au4 (PBE, relaxed); energy relative to the elements = -0.27 eV/atom; calculated total energy = -20.69 eV/f.u.; total magnetization = 0.0 Bohr magnetons per cell; relative energy among the computed polymorphs = 0.09 eV/f.u.; DOS(E_F) = 0.305 states/eV/atom
1.0
-0.563 4.494 1.558
-3.214 -4.274 3.805
8.832 0.014 3.150
K Cd Au
3 2 4
direct
0.622 0.245 0.701
0.000 0.000 0.000
0.378 0.755 0.299
0.679 0.358 0.344
0.321 0.642 0.656
0.727 0.454 0.068
0.273 0.546 0.932
0.910 0.821 0.568
0.090 0.179 0.432

=====

No. 4
Dy4Tl5Cd (PBE, relaxed); energy relative to the elements = -0.02 eV/atom; calculated total energy = -31.34 eV/f.u.; total magnetization = 0.0 Bohr magnetons per cell; relative energy among the computed polymorphs = 2.71 eV/f.u.; DOS(E_F) = 0.705 states/eV/atom
1.0
7.604 0.000 0.000
0.000 10.301 0.000
0.000 0.000 7.656
Dy Tl Cd
8 10 2
direct
0.793 0.000 0.753
0.524 0.686 0.000
0.524 0.314 0.000
0.793 0.000 0.247
0.207 0.500 0.253
0.476 0.814 0.500
0.476 0.186 0.500
0.207 0.500 0.747
0.184 0.805 0.802
0.184 0.195 0.802
0.891 0.500 0.000
0.184 0.805 0.198
0.184 0.195 0.198
0.816 0.695 0.302
0.816 0.305 0.302
0.109 0.000 0.500
0.816 0.305 0.698
0.816 0.695 0.698
0.455 0.000 0.000
0.545 0.500 0.500

=====

No. 5
KLaP2 (PBE, relaxed); energy relative to the elements = -0.58 eV/atom; calculated total energy = -19.18 eV/f.u.; total magnetization = 0.0 Bohr magnetons per cell; relative energy among the computed polymorphs = 1.14 eV/f.u.; DOS(E_F) = 0.509 states/eV/atom
1.0
8.546 0.018 -0.008
6.472 5.582 0.008
-7.486 -2.861 2.969
K La P
1 1 2
direct
0.502 0.502 0.000
0.278 0.778 0.500
0.895 0.895 0.000
0.825 0.325 0.500

=====

No. 6
Al2Zn2Hg (PBE, relaxed); energy relative to the elements = 0.10 eV/atom; calculated total energy = -9.82 eV/f.u.; total magnetization = 0.0 Bohr magnetons per cell; relative energy among the computed polymorphs = 0.00 eV/f.u.; DOS(E_F) = 0.307 states/eV/atom
1.0
-4.529 1.517 6.436
4.327 -5.219 4.275
1.794 2.113 0.764
Zn Hg Al
4 2 4
direct
0.173 0.673 0.500
0.673 0.827 0.500
0.827 0.327 0.500
0.327 0.173 0.500
0.000 0.000 0.000
0.500 0.500 0.000
0.376 0.876 0.000
0.876 0.624 0.000
0.624 0.124 0.000
0.124 0.376 0.000

=====

No. 7
LiVIr2 (PBE, relaxed); energy relative to the elements = 0.09 eV/atom; calculated total energy = -28.38 eV/f.u.; total magnetization = 0.0 Bohr magnetons per cell; relative energy among the computed polymorphs = 2.30 eV/f.u.; DOS(E_F) = 0.281 states/eV/atom
1.0
6.831 0.000 0.000
0.000 6.831 0.000
3.416 3.416 2.660
V Ir Li
2 4 2
direct
0.000 0.000 0.000
0.750 0.250 0.500
0.662 0.125 0.250
0.088 0.625 0.250
0.375 0.338 0.750
0.875 0.912 0.750
0.500 0.500 0.000
0.250 0.750 0.500

=====

No. 8
SmDy2TmSe5 (PBE, relaxed); uncorrected formation energy = -1.154 eV per atom; calculated total energy = -46.20 eV/f.u.; total magnetization = 0.0 Bohr magnetons per cell; DOS(E_F) = 0.562 states/eV/atom
1.0
-2.692 -4.277 -0.541
4.268 -2.734 0.377
-1.298 -0.542 10.758
Sm Dy Tm Se
1 2 1 5
direct
0.000 0.000 0.000
0.500 0.500 0.342
0.500 0.500 0.658
0.000 0.000 0.500
0.000 0.500 0.500
0.500 0.000 0.500
0.000 0.000 0.749
0.000 0.000 0.251
0.500 0.500 0.000

=====

No. 9
CaZnGa3 (PBE, relaxed); energy relative to the elements = -0.37 eV/atom; calculated total energy = -14.20 eV/f.u.; total magnetization = 0.0 Bohr magnetons per cell; DOS(E_F) = 0.294 states/eV/atom
1.0
4.227 -0.004 0.001
-0.003 4.227 0.001
2.110 2.111 5.564
Ca Zn Ga
1 1 3
direct
0.402 0.205 0.902
0.014 0.817 0.678
0.650 0.953 0.406
0.150 0.454 0.406
0.793 0.596 0.120

=====

No. 10
Nd2Tl2Hg (PBE, relaxed); energy relative to the elements = -0.27 eV/atom; calculated total energy = -15.90 eV/f.u.; total magnetization = 0.0 Bohr magnetons per cell; relative energy among the computed polymorphs = 0.39 eV/f.u.; DOS(E_F) = 0.886 states/eV/atom
1.0
-2.132 -1.248 -2.522
-1.654 -2.242 2.507
-8.216 6.884 3.538
Nd Tl Hg
2 2 1
direct
0.500 0.406 0.189
0.500 0.594 0.811
0.000 0.194 0.612
0.000 0.806 0.388
0.000 0.000 0.000

=====

No. 11
Nd2YCd5 (PBE, relaxed); energy relative to the elements = -0.31 eV/atom; calculated total energy = -23.05 eV/f.u.; total magnetization = 0.3 Bohr magnetons per cell; DOS(E_F) = 0.671 states/eV/atom
1.0
5.165 0.000 0.000
0.000 5.165 0.000
-2.583 -2.583 7.778
Nd Y Cd
2 1 5
direct
0.738 0.738 0.475
0.262 0.262 0.525
0.000 0.000 0.000
0.500 0.500 0.000
0.885 0.385 0.771
0.385 0.885 0.771
0.115 0.615 0.229
0.615 0.115 0.229

=====

No. 12
MnSi2Ru2 (PBE, relaxed); uncorrected formation energy = -0.340 eV per atom; calculated total energy = -40.27 eV/f.u.; total magnetization = 8.4 Bohr magnetons per cell; relative energy among the computed polymorphs = 0.00 eV/f.u.; DOS(E_F) = 0.475 states/eV/atom
1.0
-0.881 3.265 -6.081
-6.901 -0.340 0.817
0.035 2.525 1.351
Ru Si Mn
4 4 2
direct
0.354 0.854 0.000
0.854 0.646 0.000
0.646 0.146 0.000
0.146 0.354 0.000
0.151 0.651 0.500
0.651 0.849 0.500
0.849 0.349 0.500
0.349 0.151 0.500
0.000 0.000 0.000
0.500 0.500 0.000

=====

No. 13
HfPaRe (PBE, relaxed); energy relative to the elements = 0.02 eV/atom; calculated total energy = -31.82 eV/f.u.; total magnetization = 0.0 Bohr magnetons per cell; relative energy among the computed polymorphs = 0.25 eV/f.u.; DOS(E_F) = 1.316 states/eV/atom
1.0
-0.775 4.448 1.295
-2.045 2.993 -2.986
-7.094 0.700 1.867
Re Hf Pa
2 2 2
direct
0.065 0.065 0.805
0.935 0.935 0.195
0.636 0.636 0.093
0.364 0.364 0.907
0.205 0.205 0.384
0.795 0.795 0.616

=====

No. 14
Ba2YNpSe6 (PBE, relaxed); uncorrected formation energy = -1.635 eV per atom; calculated total energy = -60.51 eV/f.u.; total magnetization = 4.0 Bohr magnetons per cell; DOS(E_F) = 0.791 states/eV/atom
1.0
7.440 0.000 -0.022
0.000 7.851 0.000
0.035 0.000 10.795
Ba Y Np Se
4 2 2 12
direct
0.022 0.927 0.251
0.522 0.573 0.751
0.978 0.073 0.749
0.478 0.427 0.249
0.500 0.000 0.000
0.000 0.500 0.500
0.500 0.000 0.500
0.000 0.500 0.000
0.299 0.695 0.045
0.799 0.805 0.545
0.701 0.305 0.955
0.201 0.195 0.455
0.309 0.704 0.454
0.809 0.796 0.954
0.691 0.296 0.546
0.191 0.204 0.046
0.913 0.517 0.246
0.413 0.983 0.746
0.087 0.483 0.754
0.587 0.017 0.254

=====

No. 15
ScTi2NbO (PBE, relaxed); uncorrected formation energy = -1.058 eV per atom; calculated total energy = -42.44 eV/f.u.; total magnetization = 0.0 Bohr magnetons per cell; DOS(E_F) = 0.569 states/eV/atom
1.0
4.216 0.000 0.000
0.000 4.216 0.000
0.000 0.000 4.350
Sc Nb O Ti
1 1 1 2
direct
0.000 0.000 0.500
0.500 0.500 0.500
0.000 0.000 0.000
0.000 0.500 0.000
0.500 0.000 0.000

=====

No. 16
Mn2CdCo (PBE, relaxed); energy relative to the elements = 0.25 eV/atom; calculated total energy = -25.37 eV/f.u.; total magnetization = 6.4 Bohr magnetons per cell; DOS(E_F) = 0.754 states/eV/atom
1.0
2.918 0.000 0.000
0.000 2.918 0.000
0.000 0.000 6.611
Cd Co Mn
1 1 2
direct
0.000 0.000 0.514
0.500 0.500 0.796
0.000 0.000 0.979
0.500 0.500 0.210

=====

No. 17
InNi3Ir (PBE, relaxed); energy relative to the elements = 0.96 eV/atom; calculated total energy = -24.15 eV/f.u.; total magnetization = 2.3 Bohr magnetons per cell; relative energy among the computed polymorphs = 0.00 eV/f.u.; DOS(E_F) = 1.455 states/eV/atom
1.0
-2.209 0.280 -3.995
2.360 -3.595 -1.557
-3.235 -2.814 1.592
Ni Ir In
3 1 1
direct
0.000 0.500 0.000
0.000 0.000 0.500
0.500 0.000 0.000
0.000 0.000 0.000
0.500 0.500 0.500

=====

No. 18
SrCaTlPt (PBE, relaxed); energy relative to the elements = -0.50 eV/atom; calculated total energy = -14.09 eV/f.u.; total magnetization = 0.0 Bohr magnetons per cell; DOS(E_F) = 0.971 states/eV/atom
1.0
-2.922 -0.045 -4.469
-5.324 -0.280 0.293
-2.972 4.245 -1.290
Sr Tl Ca Pt
1 1 1 1
direct
0.750 0.750 0.750
0.000 0.000 0.000
0.250 0.250 0.250
0.500 0.500 0.500

=====

No. 19
Er2Tl3BiS6 (PBE, relaxed); uncorrected formation energy = -1.134 eV per atom; calculated total energy = -58.47 eV/f.u.; total magnetization = 0.0 Bohr magnetons per cell
1.0
7.014 0.000 0.001
-3.506 6.075 0.001
-1.169 -2.024 7.495
Er Tl Bi S
2 3 1 6
direct
0.333 0.667 0.000
0.667 0.333 0.000
0.166 0.834 0.500
0.834 0.166 0.500
0.500 0.500 0.500
0.000 0.000 0.000
0.933 0.589 0.800
0.722 0.722 0.199
0.067 0.411 0.200
0.589 0.933 0.800
0.278 0.278 0.801
0.411 0.067 0.200

=====

No. 20
As2IrCl (PBE, relaxed); uncorrected formation energy = 0.008 eV per atom; calculated total energy = -19.97 eV/f.u.; total magnetization = 0.0 Bohr magnetons per cell; relative energy among the computed polymorphs = 1.02 eV/f.u.; DOS(E_F) = 0.462 states/eV/atom
1.0
3.038 0.000 0.000
0.000 3.347 -0.376
0.000 0.934 7.592
As Ir Cl
2 1 1
direct
0.000 0.246 0.941
0.000 0.254 0.559
0.500 0.750 0.750
0.500 0.250 0.250